1.
The following is a PBE calculation of a relaxed BeTlSe crystal, from Alexandria. Values from VASP.

Geometry as Quantum ESPRESSO input:
```
&SYSTEM
  ibrav = 0, nat = 3, ntyp = 3
/
ATOMIC_SPECIES
Be 9.01 Be.upf
Tl 204.38 Tl.upf
Se 78.96 Se.upf
CELL_PARAMETERS angstrom
3.622 0.000 0.000
-1.811 3.136 0.000
0.000 0.000 6.303
ATOMIC_POSITIONS crystal
Be 0.000 0.000 0.236
Tl 0.333 0.667 0.621
Se 0.667 0.333 0.142
```

Results
**ΔE to the lowest computed polymorph**: 33 meV/atom
**ΔE_f (raw)**: -0.304 eV per atom
**E_tot**: -3.496 eV per atom

***

2.
The following is a PBE calculation of a relaxed Na3Pa2AgTe6 crystal, from Alexandria. Values from VASP.

Geometry as Quantum ESPRESSO input:
```
&SYSTEM
  ibrav = 0, nat = 12, ntyp = 4
/
ATOMIC_SPECIES
Te 127.60 Te.upf
Na 22.99 Na.upf
Pa 231.04 Pa.upf
Ag 107.87 Ag.upf
CELL_PARAMETERS angstrom
-1.821 -5.024 -5.439
4.959 -1.930 5.461
-6.758 -0.248 4.275
ATOMIC_POSITIONS crystal
Te 0.740 0.740 0.233
Te 0.584 0.922 0.767
Te 0.416 0.078 0.233
Te 0.922 0.584 0.767
Te 0.260 0.260 0.767
Te 0.078 0.416 0.233
Na 0.500 0.500 0.500
Na 0.164 0.836 0.500
Na 0.836 0.164 0.500
Pa 0.333 0.667 0.000
Pa 0.667 0.333 0.000
Ag 0.000 0.000 0.000
```

Results
**ΔE_f (raw)**: -0.785 eV per atom
**E_tot**: -4.505 eV per atom

***

3.
The following is a PBE calculation of a relaxed LiCN3 crystal, from Alexandria. Values from VASP.

Geometry as Quantum ESPRESSO input:
```
&SYSTEM
  ibrav = 0, nat = 5, ntyp = 3
/
ATOMIC_SPECIES
N 14.01 N.upf
C 12.01 C.upf
Li 6.94 Li.upf
CELL_PARAMETERS angstrom
-0.177 -3.287 -0.028
2.553 -0.120 -2.075
2.071 -0.133 2.555
ATOMIC_POSITIONS crystal
N 0.000 0.500 0.000
N 0.000 0.000 0.500
N 0.500 0.000 0.000
C 0.000 0.000 0.000
Li 0.500 0.500 0.500
```

Results
**ΔE_f (raw)**: 2.222 eV per atom
**E_tot**: -5.001 eV per atom

***

4.
The following is a PBE calculation of a relaxed TiGa3Si crystal, from Alexandria. Values from VASP.

Geometry as Quantum ESPRESSO input:
```
&SYSTEM
  ibrav = 0, nat = 5, ntyp = 3
/
ATOMIC_SPECIES
Ga 69.72 Ga.upf
Ti 47.87 Ti.upf
Si 28.09 Si.upf
CELL_PARAMETERS angstrom
-2.979 3.535 0.952
-3.424 -2.256 -2.337
-1.295 -2.166 3.989
ATOMIC_POSITIONS crystal
Ga 0.000 0.000 0.500
Ga 0.000 0.500 0.000
Ga 0.500 0.000 0.000
Ti 0.500 0.500 0.500
Si 0.000 0.000 0.000
```

Results
**ΔE to the lowest computed polymorph**: 0 meV/atom
**ΔE_f (raw)**: 0.677 eV per atom
**E_tot**: -3.803 eV per atom

***

5.
The following is a PBE calculation of a relaxed Rb2NaMgW crystal, from Alexandria. Values from VASP.

Geometry as Quantum ESPRESSO input:
```
&SYSTEM
  ibrav = 0, nat = 5, ntyp = 4
/
ATOMIC_SPECIES
Rb 85.47 Rb.upf
Na 22.99 Na.upf
Mg 24.30 Mg.upf
W 183.84 W.upf
CELL_PARAMETERS angstrom
6.941 0.000 0.000
0.000 5.579 0.000
0.000 0.000 6.941
ATOMIC_POSITIONS crystal
Rb 0.000 0.000 0.500
Rb 0.500 0.000 0.000
Na 0.500 0.500 0.500
Mg 0.000 0.500 0.000
W 0.000 0.000 0.000
```

Results
**Energy of formation from the pure elements**: 1.29 eV/atom
**E_tot**: -2.270 eV per atom

***

6.
The following is a PBE calculation of a relaxed LiSbMo2 crystal, from Alexandria. Values from VASP.

Geometry as Quantum ESPRESSO input:
```
&SYSTEM
  ibrav = 0, nat = 4, ntyp = 3
/
ATOMIC_SPECIES
Sb 121.76 Sb.upf
Mo 95.94 Mo.upf
Li 6.94 Li.upf
CELL_PARAMETERS angstrom
-8.920 -2.754 -0.629
-8.291 -3.782 2.120
-9.145 -0.929 1.744
ATOMIC_POSITIONS crystal
Sb 0.250 0.250 0.250
Mo 0.997 0.997 0.997
Mo 0.503 0.503 0.503
Li 0.750 0.750 0.750
```

Results
**ΔE_f (raw)**: 0.678 eV per atom
**E_tot**: -6.246 eV per atom

***

7.
The following is a PBE calculation of a relaxed Ni2AgOs crystal, from Alexandria. Values from VASP.

Geometry as Quantum ESPRESSO input:
```
&SYSTEM
  ibrav = 0, nat = 4, ntyp = 3
/
ATOMIC_SPECIES
Ni 58.69 Ni.upf
Ag 107.87 Ag.upf
Os 190.23 Os.upf
CELL_PARAMETERS angstrom
-3.448 -1.813 -1.728
0.156 -4.049 -1.318
-2.117 -3.019 2.136
ATOMIC_POSITIONS crystal
Ni 0.750 0.750 0.750
Ni 0.000 0.000 0.000
Ag 0.500 0.500 0.500
Os 0.250 0.250 0.250
```

Results
**ΔE to the lowest computed polymorph**: 513 meV/atom
**Energy of formation from the pure elements**: 0.71 eV/atom
**E_tot**: -5.705 eV per atom

***

8.
The following is a PBE calculation of a relaxed Ni2AgCl crystal, from Alexandria. Values from VASP.

Geometry as Quantum ESPRESSO input:
```
&SYSTEM
  ibrav = 0, nat = 4, ntyp = 3
/
ATOMIC_SPECIES
Ni 58.69 Ni.upf
Cl 35.45 Cl.upf
Ag 107.87 Ag.upf
CELL_PARAMETERS angstrom
2.933 -0.017 0.000
-1.340 2.609 0.000
0.000 0.000 7.850
ATOMIC_POSITIONS crystal
Ni 0.000 0.000 0.977
Ni 0.000 0.000 0.523
Cl 0.500 0.500 0.750
Ag 0.500 0.500 0.250
```

Results
**ΔE to the lowest computed polymorph**: 248 meV/atom
**ΔE_f (raw)**: 0.394 eV per atom
**E_tot**: -3.671 eV per atom

***

9.
The following is a PBE calculation of a relaxed Rb2ClO2 crystal, from Alexandria. Values from VASP.

Geometry as Quantum ESPRESSO input:
```
&SYSTEM
  ibrav = 0, nat = 10, ntyp = 3
/
ATOMIC_SPECIES
Rb 85.47 Rb.upf
Cl 35.45 Cl.upf
O 16.00 O.upf
CELL_PARAMETERS angstrom
-1.840 6.914 3.200
-0.761 -3.443 7.000
3.802 0.668 0.742
ATOMIC_POSITIONS crystal
Rb 0.295 0.205 0.500
Rb 0.705 0.795 0.500
Rb 0.205 0.705 0.500
Rb 0.795 0.295 0.500
Cl 0.500 0.500 0.000
Cl 0.000 0.000 0.000
O 0.561 0.061 0.000
O 0.061 0.439 0.000
O 0.939 0.561 0.000
O 0.439 0.939 0.000
```

Results
**ΔE to the lowest computed polymorph**: 0 meV/atom
**ΔE_f (raw)**: -1.229 eV per atom
**E_tot**: -3.968 eV per atom